[1]
DFT (PBE) results for crystalline NdLuInSn at its relaxed geometry.

The energy of formation is -0.47 eV/atom.

Unit cell a=7.6018 b=7.6018 c=7.6018 alpha=90.00 beta=90.00 gamma=90.00
Space group F-43m (No. 216)
Asymmetric unit:
Nd 0.0000 0.0000 0.0000 x4
Lu 0.0000 0.0000 0.5000 x4
In 0.2500 0.2500 0.2500 x4
Sn 0.2500 0.2500 0.7500 x4

=====

[2]
DFT (PBE) results for crystalline NdLuZnIn at its relaxed geometry.

The energy of formation is -0.37 eV/atom.

Unit cell a=7.4149 b=7.4149 c=7.4149 alpha=90.00 beta=90.00 gamma=90.00
Space group F-43m (No. 216)
Asymmetric unit:
Nd 0.0000 0.0000 0.0000 x4
Lu 0.0000 0.0000 0.5000 x4
Zn 0.2500 0.2500 0.7500 x4
In 0.2500 0.2500 0.2500 x4

=====

[3]
DFT (PBE) results for crystalline LuInNi4 at its relaxed geometry.

The energy of formation is -0.42 eV/atom.

Unit cell a=6.9954 b=6.9954 c=6.9954 alpha=90.00 beta=90.00 gamma=90.00
Space group F-43m (No. 216)
Asymmetric unit:
Lu 0.0000 0.0000 0.0000 x4
In 0.2500 0.2500 0.7500 x4
Ni 0.1243 0.1243 0.3757 x16